Record 1
LaNb2HO | PBE-GGA | relaxed

```
LaNb2HO
1.0
3.702 0.000 0.000
0.000 3.702 0.000
0.000 0.000 7.245
La Nb H O
1 2 1 1
Direct
0.000 0.000 0.000 La
0.000 0.500 0.500 Nb
0.500 0.000 0.500 Nb
0.000 0.000 0.500 H
0.500 0.500 0.000 O
```

Values from the calculation:
* calculated total energy: -6.9721 eV per atom
* space group: P4/mmm, No. 123
* total moment: 0.0 μB per formula unit

***

Record 2
Ba5C | PBE-GGA | relaxed

```
Ba5C
1.0
14.633 0.000 0.000
0.000 3.981 0.000
-2.966 0.000 10.358
Ba C
10 2
Direct
0.000 0.000 0.000 Ba
0.067 0.500 0.396 Ba
0.172 0.000 0.818 Ba
0.251 0.000 0.165 Ba
0.361 0.500 0.574 Ba
0.500 0.500 0.000 Ba
0.567 0.000 0.396 Ba
0.672 0.500 0.818 Ba
0.751 0.500 0.165 Ba
0.861 0.000 0.574 Ba
0.140 0.500 0.997 C
0.640 0.000 0.997 C
```

Values from the calculation:
* polymorph energy (0 for the lowest one): 0.0 meV per atom
* energy relative to the elements: 0.343 eV per atom
* space group: Cm, No. 8
* total moment: 0.3 μB per formula unit

***

Record 3
LiCuAu | PBE-GGA | relaxed

```
LiCuAu
1.0
2.751 0.000 0.000
0.000 16.237 0.000
0.000 0.000 3.987
Li Cu Au
4 4 4
Direct
0.000 0.043 0.250 Li
0.000 0.957 0.750 Li
0.500 0.457 0.750 Li
0.500 0.543 0.250 Li
0.000 0.381 0.250 Cu
0.000 0.619 0.750 Cu
0.500 0.119 0.750 Cu
0.500 0.881 0.250 Cu
0.000 0.198 0.250 Au
0.000 0.802 0.750 Au
0.500 0.302 0.750 Au
0.500 0.698 0.250 Au
```

Values from the calculation:
* polymorph energy (0 for the lowest one): 188.5 meV per atom
* energy relative to the elements: -0.069 eV per atom
* space group: Cmcm, No. 63
* total moment: 0.0 μB per formula unit